First-principles (PBE) data for crystalline PaPd3 at its relaxed geometry, as listed in Alexandria.

Cell and atoms, written as POSCAR:
```
PaPd3
1.0
-3.004 -2.803 -0.047
2.765 -2.973 0.631
-0.364 3.335 3.933
Pa Pd
1 3
Cartesian
0.000 0.000 0.000
-1.744 -1.178 2.089
1.141 -1.263 2.428
-0.119 -2.888 0.292
```

Results
Space-group type = I4/mmm (139)
Calculated formation energy = -721.4 meV per atom
Magnetization = 0.001 μB per formula unit
Distance to the lowest polymorph of the same formula = 0.045 eV/atom
DOS at the Fermi energy = 2.74 states/eV/f.u.

---

First-principles (PBE) data for crystalline Nd2Sm2YHo4 at its relaxed geometry, as listed in Alexandria.

Cell and atoms, written as POSCAR:
```
Nd2Sm2YHo4
1.0
3.620 0.000 0.000
-1.810 9.383 -0.491
0.000 -3.726 8.878
Nd Sm Y Ho
2 2 1 4
Cartesian
0.000 2.551 8.542
1.810 3.106 -0.154
1.810 5.365 2.646
0.000 0.292 5.741
0.000 0.000 0.000
1.810 3.437 5.585
0.000 2.220 2.802
1.810 -0.879 2.944
0.000 6.536 5.443
```

Results
Space-group type = C2/m (12)
Calculated formation energy = 2.4 meV per atom
Magnetization = 0.000 μB per formula unit
DOS at the Fermi energy = 12.42 states/eV/f.u.

---

First-principles (PBE) data for crystalline AlSb3 at its relaxed geometry, as listed in Alexandria.

Cell and atoms, written as POSCAR:
```
AlSb3
1.0
-1.671 5.453 1.944
-0.843 -2.231 5.533
5.728 1.263 1.382
Sb Al
6 2
Cartesian
-0.422 -1.116 2.766
-0.836 2.726 0.972
2.028 3.358 1.663
2.442 -0.484 3.458
2.864 0.631 0.691
-1.257 1.611 3.739
0.000 0.000 0.000
1.607 2.242 4.430
```

Results
Space-group type = Im-3m (229)
Formation energy from raw total energies = 0.05 eV/atom
Magnetization = 0.000 μB per formula unit
Distance to the lowest polymorph of the same formula = 0.000 eV/atom
DOS at the Fermi energy = 0.91 states/eV/f.u.

---

First-principles (PBE) data for crystalline Li4PrP2 at its relaxed geometry, as listed in Alexandria.

Cell and atoms, written as POSCAR:
```
Li4PrP2
1.0
4.084 0.000 0.000
0.000 7.636 0.000
0.000 0.000 7.636
Li Pr P
8 2 4
Cartesian
0.000 0.723 2.535
0.000 6.912 5.101
2.042 1.283 4.541
2.042 6.352 3.094
2.042 3.094 6.352
2.042 4.541 1.283
0.000 2.535 0.723
0.000 5.101 6.912
2.042 0.000 0.000
0.000 3.818 3.818
0.000 1.632 6.003
0.000 6.003 1.632
2.042 5.450 5.450
2.042 2.185 2.185
```

Results
Space-group type = P4_2/mnm (136)
Calculated formation energy = -814.0 meV per atom
Magnetization = 0.044 μB per formula unit
DOS at the Fermi energy = 3.79 states/eV/f.u.

---

First-principles (PBE) data for crystalline Ba2AlHg6Pb at its relaxed geometry, as listed in Alexandria.

Cell and atoms, written as POSCAR:
```
Ba2AlHg6Pb
1.0
-5.528 0.119 5.805
2.788 -7.117 2.800
6.183 4.701 5.791
Ba Al Hg Pb
4 2 12 2
Cartesian
0.942 -3.949 6.513
5.465 1.743 5.168
3.835 -1.749 9.222
2.174 -0.758 2.086
0.525 1.906 5.997
2.591 -6.613 2.602
-0.669 -0.197 4.903
2.440 2.167 7.815
3.785 -4.511 3.696
6.859 -2.173 6.575
4.795 -4.591 6.712
1.317 -4.517 10.364
2.447 -0.426 5.838
0.414 -0.383 7.974
-2.825 -4.206 6.431
0.669 -4.281 2.761
-1.679 -0.116 1.886
-3.729 -0.072 4.040
4.741 -1.859 4.552
-1.625 -2.849 4.047
```

Results
Space-group type = Pmmn (59)
Calculated formation energy = -249.4 meV per atom
Magnetization = 0.000 μB per formula unit
DOS at the Fermi energy = 5.17 states/eV/f.u.

---

First-principles (PBE) data for crystalline Y3Co at its relaxed geometry, as listed in Alexandria.

Cell and atoms, written as POSCAR:
```
Y3Co
1.0
3.428 0.000 0.224
0.000 3.429 0.000
2.854 0.000 9.045
Co Y
1 3
Cartesian
0.000 0.000 0.000
4.673 1.715 7.538
3.141 0.000 4.634
1.608 1.715 1.730
```

Results
Space-group type = P4/mmm (123)
Calculated formation energy = -35.1 meV per atom
Magnetization = 1.039 μB per formula unit
DOS at the Fermi energy = 4.86 states/eV/f.u.